{"formula": "CdSn3Br2Cl6", "functional": "PBE", "state": "relaxed", "dos_ef_per_ev_cell": 0.000, "vol_a3_per_atom": 31.688, "energy_ev_per_cell": -38.561, "lattice_angstrom": [[7.236, -4.097, 0.000], [7.236, 4.097, 0.000], [-0.344, 0.000, 6.413]], "species": ["Cd", "Sn", "Sn", "Sn", "Br", "Br", "Cl", "Cl", "Cl", "Cl", "Cl", "Cl"], "frac_coords": [[0.000, 0.000, 0.000], [0.000, 0.500, 0.000], [0.500, 0.000, 0.000], [0.500, 0.500, 0.500], [0.321, 0.321, 0.710], [0.679, 0.679, 0.290], [0.157, 0.157, 0.224], [0.167, 0.684, 0.233], [0.316, 0.833, 0.767], [0.684, 0.167, 0.233], [0.833, 0.316, 0.767], [0.843, 0.843, 0.776]]}